Computed, not measured: crystalline AgGeNO2 at its relaxed geometry at the PBE level of DFT.

```
5
Lattice="-2.1892 -0.1379 -3.0499 -2.6410 -1.7973 1.9769 -1.6037 3.4510 0.9950" Properties=species:S:1:pos:R:3 pbc="T T T"
Ag -3.2169 0.7579 -0.0390
Ge 0.0000 0.0000 0.0000
O -1.0946 -0.0690 -1.5250
O -1.3205 -0.8986 0.9885
N -0.8019 1.7255 0.4975
```

The uncorrected formation energy is 0.122 eV/atom. The calculation puts the density of states at the Fermi level at 4.64 states/eV per cell.

***

Computed, not measured: crystalline AgGeNO2 at its relaxed geometry at the PBE level of DFT.

```
5
Lattice="4.1742 0.0000 0.0000 0.0000 4.1742 0.0000 0.0000 0.0000 3.9519" Properties=species:S:1:pos:R:3 pbc="T T T"
Ag 0.0000 0.0000 0.0000
N 0.0000 0.0000 1.9759
Ge 2.0871 2.0871 1.9759
O 0.0000 2.0871 0.0000
O 2.0871 0.0000 0.0000
```

The uncorrected formation energy is 0.955 eV/atom. The calculation puts the density of states at the Fermi level at 2.15 states/eV per cell.

***

Computed, not measured: crystalline AgGeN2O at its relaxed geometry at the PBE level of DFT.

```
5
Lattice="-1.6688 2.9453 -1.9395 -2.4090 -2.5191 -1.7527 -2.5121 0.4368 2.8249" Properties=species:S:1:pos:R:3 pbc="T T T"
N -1.2045 -1.2596 -0.8764
N -0.8344 1.4726 -0.9697
O -1.2561 0.2184 1.4125
Ag -3.2950 0.4315 -0.4336
Ge 0.0000 0.0000 0.0000
```

The uncorrected formation energy is 0.854 eV/atom. The calculation puts the density of states at the Fermi level at 2.00 states/eV per cell.

***

Computed, not measured: crystalline AgGeN2O at its relaxed geometry at the PBE level of DFT.

```
5
Lattice="4.0455 0.0000 0.0000 0.0000 4.0455 0.0000 0.0000 0.0000 4.2754" Properties=species:S:1:pos:R:3 pbc="T T T"
O 0.0000 0.0000 2.1377
N 2.0228 0.0000 0.0000
N 0.0000 2.0228 0.0000
Ag 0.0000 0.0000 0.0000
Ge 2.0228 2.0228 2.1377
```

The uncorrected formation energy is 1.663 eV/atom. The calculation puts the density of states at the Fermi level at 1.71 states/eV per cell.

***

Computed, not measured: crystalline AgGeNO2 at its relaxed geometry at the PBE level of DFT.

```
5
Lattice="-3.1004 -2.5538 -0.0918 2.3205 -2.7796 -1.0471 0.6418 -0.9178 3.8586" Properties=species:S:1:pos:R:3 pbc="T T T"
N 0.0000 0.0000 0.0000
O -1.5502 -1.2769 -0.0459
O 0.3209 -0.4589 1.9293
Ge 1.1603 -1.3898 -0.5236
Ag -0.0691 -3.1256 1.3598
```

The uncorrected formation energy is 0.933 eV/atom. The calculation puts the density of states at the Fermi level at 1.41 states/eV per cell.

***

Computed, not measured: crystalline PaAgGeN at its relaxed geometry at the PBE level of DFT.

```
8
Lattice="4.0446 0.0000 0.0000 0.0000 4.0446 0.0000 0.0000 0.0000 8.5520" Properties=species:S:1:pos:R:3 pbc="T T T"
N 2.0223 2.0223 0.0000
N 0.0000 0.0000 0.0000
Pa 2.0223 0.0000 1.1252
Pa 0.0000 2.0223 7.4268
Ge 0.0000 2.0223 2.5300
Ge 2.0223 0.0000 6.0220
Ag 0.0000 0.0000 4.2760
Ag 2.0223 2.0223 4.2760
```

The uncorrected formation energy is -0.832 eV/atom. The calculation puts the density of states at the Fermi level at 7.37 states/eV per cell.

***

We obtain energy values of -5.020, -4.187, -4.962, -4.152, -4.209, -7.154 eV/atom for the records listed above, in that order.